Entry 1:
PBE Mg2Al9Pt3, optimized geometry; density of states at the Fermi level = 2.27 states/eV/f.u.; space group = No. 15
1.0
-4.6564 3.0013 5.2026
-2.2350 -1.0888 -7.1817
0.7789 -10.2639 1.2811
Pt Al Mg
6 18 4
direct
0.5000 0.5000 0.5000
0.8240 0.6561 0.9885
0.8324 0.1645 0.4885
0.1676 0.8355 0.5115
0.1760 0.3439 0.0115
0.5000 0.0000 0.0000
0.2078 0.6874 0.0756
0.3278 0.2788 0.2512
0.9035 0.1535 0.7500
0.1315 0.9898 0.9327
0.4334 0.6295 0.9145
0.8685 0.0102 0.0673
0.5572 0.1988 0.5673
0.4724 0.9234 0.7512
0.8882 0.8678 0.5756
0.4428 0.8012 0.4327
0.2150 0.5189 0.5855
0.5666 0.3705 0.0855
0.0965 0.8465 0.2500
0.1118 0.1322 0.4244
0.7922 0.3126 0.9244
0.6722 0.7212 0.7488
0.7850 0.4811 0.4145
0.5276 0.0766 0.2488
0.6352 0.7462 0.2472
0.0010 0.6120 0.7472
0.9990 0.3880 0.2528
0.3648 0.2538 0.7528

---

Entry 2:
PBE Mg4AlPt, optimized geometry; density of states at the Fermi level = 3.26 states/eV/f.u.; space group = No. 216
1.0
0.0000 3.8586 3.8586
3.8586 0.0000 3.8586
3.8586 3.8586 0.0000
Mg Al Pt
4 1 1
direct
0.3756 0.3756 0.3756
0.3756 0.3756 0.8732
0.8732 0.3756 0.3756
0.3756 0.8732 0.3756
0.0000 0.0000 0.0000
0.7500 0.7500 0.7500

---

Entry 3:
PBE Mg2Al2Pt3, optimized geometry; density of states at the Fermi level = 2.02 states/eV/f.u.; space group = No. 12
1.0
4.1620 -0.0158 -1.1594
-2.2564 3.7108 -0.0009
-0.1097 -0.0639 7.6249
Mg Pt Al
2 3 2
direct
0.7373 0.8685 0.6090
0.2627 0.1315 0.3910
0.0000 0.0000 0.0000
0.4837 0.7423 0.2232
0.5163 0.2577 0.7768
0.2358 0.6179 0.8525
0.7642 0.3821 0.1475

---

Entry 4:
PBE MgAl2Pt, optimized geometry; density of states at the Fermi level = 1.69 states/eV/f.u.; space group = No. 65
1.0
4.7761 -0.0119 0.0000
-1.6865 4.4685 0.0000
0.0000 0.0000 3.0455
Al Pt Mg
2 1 1
direct
0.0000 0.0000 0.0000
0.5000 0.5000 0.0000
0.0000 0.5000 0.5000
0.5000 0.0000 0.5000

---

Entry 5:
PBE MgAlPt3, optimized geometry; density of states at the Fermi level = 2.71 states/eV/f.u.; space group = No. 221
1.0
-4.2865 1.5071 -0.5459
-1.3946 -2.7380 3.3915
0.7903 3.3430 3.0238
Mg Pt Al
1 3 1
direct
0.5000 0.5000 0.5000
0.0000 0.0000 0.5000
0.0000 0.5000 0.0000
0.5000 0.0000 0.0000
0.0000 0.0000 0.0000

---

Entry 6:
PBE MgAl2Pt, optimized geometry; density of states at the Fermi level = 1.02 states/eV/f.u.; space group = No. 12
1.0
4.6983 -0.1227 0.1103
3.6131 3.0057 0.1103
0.9050 0.3139 4.6027
Pt Al Mg
1 2 1
direct
0.2500 0.2500 0.2500
0.5156 0.5156 0.4712
0.9844 0.9844 0.0288
0.7500 0.7500 0.7500

---

Values for total magnetic moment, μB per formula unit, ordered as above
0.00, 0.00, 0.00, 0.00, 0.00, 0.00
Values for ΔE_f, meV/atom, ordered as above
-597, 60, -942, -405, -88, -494
Values for electronic total energy, eV/atom, ordered as above
-4.53, -2.63, -5.06, -4.19, -4.78, -4.27